{"formula": "TiAlWO6", "functional": "PBE with a Hubbard U", "state": "relaxed", "lattice_angstrom": [[4.924, 0.000, 0.000], [-2.462, 4.264, 0.000], [0.000, 0.000, 8.877]], "species": ["Ti", "Ti", "Al", "Al", "W", "W", "O", "O", "O", "O", "O", "O", "O", "O", "O", "O", "O", "O"], "frac_coords": [[0.667, 0.333, 0.250], [0.333, 0.667, 0.750], [0.333, 0.667, 0.250], [0.667, 0.333, 0.750], [0.000, 0.000, 0.000], [0.000, 0.000, 0.500], [0.661, 0.670, 0.132], [0.008, 0.339, 0.132], [0.339, 0.008, 0.632], [0.992, 0.661, 0.868], [0.330, 0.339, 0.368], [0.008, 0.670, 0.368], [0.670, 0.008, 0.868], [0.661, 0.992, 0.368], [0.992, 0.330, 0.632], [0.330, 0.992, 0.132], [0.670, 0.661, 0.632], [0.339, 0.330, 0.868]], "volume_a3_per_atom": 10.354, "m_tot_mub_per_fu": 1.00, "total_energy_ev_per_atom": -7.913, "mass_density_g_cm3": 6.320}